No. 1
The following is a DFT calculation (PBE) of a geometry-optimized Ta2In2Br structure.

a b c (Å): 3.7921 3.7921 9.2183
angles (deg): 78.13 78.13 90.00
Fractional coordinates of all 5 atoms:
Ta 0.7500 0.2500 0.5000
Ta 0.2500 0.7500 0.5000
In 0.3855 0.3855 0.2290
In 0.6145 0.6145 0.7710
Br 0.0000 0.0000 0.0000

Computed properties:
formation energy (no corrections): 0.5342 eV/atom
ΔE to the lowest computed polymorph: 0 meV per atom


No. 2
The following is a DFT calculation (PBE) of a geometry-optimized Ga2SnAu7 structure.

a b c (Å): 3.6441 8.7967 8.7968
angles (deg): 129.69 90.00 90.00
Fractional coordinates of all 10 atoms:
Au 0.5000 0.2983 0.0890
Ga 0.5000 0.3272 0.6728
Au 0.0000 0.2164 0.7836
Ga 0.5000 0.6728 0.3272
Sn 0.0000 0.0000 0.0000
Au 0.5000 0.9110 0.7017
Au 0.5000 0.7017 0.9110
Au 0.0000 0.7836 0.2164
Au 0.5000 0.5000 0.5000
Au 0.5000 0.0890 0.2983

Computed properties:
energy: -3.31 eV per atom


No. 3
The following is a DFT calculation (PBE) of a geometry-optimized CaSi2NiSn structure.

a b c (Å): 5.1824 5.6062 5.1824
angles (deg): 90.00 90.00 90.00
Fractional coordinates of all 5 atoms:
Sn 0.0000 0.5000 0.0000
Si 0.5000 0.0000 0.0000
Si 0.0000 0.0000 0.5000
Ni 0.5000 0.5000 0.5000
Ca 0.0000 0.0000 0.0000

Computed properties:
formation energy (no corrections): 1.6901 eV/atom


No. 4
The following is a DFT calculation (PBE) of a geometry-optimized Sc2Ga3Co structure.

a b c (Å): 5.3526 5.3526 8.0258
angles (deg): 103.58 103.58 107.20
Fractional coordinates of all 12 atoms:
Co 0.6625 0.6625 0.3249
Sc 0.7438 0.7438 0.0000
Ga 0.3419 0.8299 0.1718
Ga 0.8269 0.8269 0.6538
Sc 0.2562 0.2562 0.0000
Ga 0.1731 0.1731 0.3462
Co 0.3375 0.3375 0.6751
Ga 0.6581 0.1701 0.8282
Sc 0.2500 0.7500 0.5000
Sc 0.7500 0.2500 0.5000
Ga 0.8299 0.3419 0.1718
Ga 0.1701 0.6581 0.8282

Computed properties:
energy: -5.36 eV per atom